No. 1
Li4CdAg7, relaxed, DFT PBE; ΔH_f (0 K) = -1.9 eV per formula unit; energy above the lowest structure with this stoichiometry = 0 meV per atom; space group = P-1 (2); crystal system = triclinic
1.0
5.411 -1.366 1.556
0.416 4.602 1.990
1.432 -1.211 8.209
Li Ag Cd
4 7 1
direct
0.249 0.178 0.327
0.500 0.668 0.334
0.751 0.822 0.673
0.500 0.332 0.666
0.255 0.500 0.997
0.003 0.330 0.659
0.997 0.670 0.341
0.742 0.163 0.347
0.258 0.837 0.653
0.745 0.500 0.003
0.500 0.000 0.000
0.000 0.000 0.000


No. 2
BaLiCo2, relaxed, DFT PBE; ΔH_f (0 K) = 3.7 eV per formula unit; energy above the lowest structure with this stoichiometry = 669 meV per atom; space group = Fm-3m (225); crystal system = cubic
1.0
0.000 3.316 3.316
3.316 0.000 3.316
3.316 3.316 0.000
Co Ba Li
2 1 1
direct
0.250 0.250 0.250
0.750 0.750 0.750
0.500 0.500 0.500
0.000 0.000 0.000


No. 3
Cd2AsRu, relaxed, DFT PBE; ΔH_f (0 K) = 2.0 eV per formula unit; space group = I-42d (122); crystal system = tetragonal
1.0
-3.030 -6.613 -2.900
0.706 -3.401 7.018
-3.561 -4.187 2.697
Cd As Ru
4 2 2
direct
0.375 0.372 0.750
0.875 0.878 0.750
0.628 0.125 0.250
0.122 0.625 0.250
0.500 0.500 0.000
0.250 0.750 0.500
0.750 0.250 0.500
0.000 0.000 0.000


No. 4
TiGeRu2, relaxed, DFT PBE; ΔH_f (0 K) = -2.5 eV per formula unit; space group = P4/mmm (123); crystal system = tetragonal
1.0
3.111 0.000 0.000
0.000 4.263 0.000
0.000 0.000 4.263
Ti Ru Ge
1 2 1
direct
0.500 0.500 0.500
0.000 0.000 0.500
0.000 0.500 0.000
0.500 0.000 0.000


No. 5
Ac2Ga4Pd3Au, relaxed, DFT PBE; ΔH_f (0 K) = -7.7 eV per formula unit; space group = P-4m2 (115); crystal system = tetragonal
1.0
4.547 0.000 0.000
0.000 4.547 0.000
0.000 0.000 10.278
Ac Au Pd Ga
2 1 3 4
direct
0.500 0.000 0.247
0.000 0.500 0.753
0.500 0.500 0.500
0.000 0.000 0.500
0.000 0.500 0.126
0.500 0.000 0.874
0.000 0.500 0.374
0.500 0.000 0.626
0.000 0.000 0.000
0.500 0.500 0.000


No. 6
Tb3Y2TmAs6, relaxed, DFT PBE; ΔH_f (0 K) = -18.5 eV per formula unit; space group = C2/m (12); crystal system = monoclinic
1.0
-0.897 -3.717 -1.540
-0.781 -2.979 7.643
-7.848 4.676 -1.196
As Tb Tm Y
6 3 1 2
direct
0.333 0.417 0.666
0.665 0.083 0.331
0.667 0.583 0.334
0.000 0.753 0.000
0.000 0.247 0.000
0.335 0.917 0.669
0.167 0.834 0.334
0.833 0.166 0.666
0.500 0.500 0.000
0.500 0.000 0.000
0.834 0.667 0.667
0.166 0.333 0.333


No. 7
In2SnAu2, relaxed, DFT PBE; ΔH_f (0 K) = -0.2 eV per formula unit; energy above the lowest structure with this stoichiometry = 135 meV per atom; space group = I4/mmm (139); crystal system = tetragonal
1.0
-3.411 -2.610 -0.100
2.306 -2.931 -2.133
1.298 -5.405 4.505
In Au Sn
2 2 1
direct
0.250 0.750 0.500
0.750 0.250 0.500
0.395 0.395 0.209
0.605 0.605 0.791
0.000 0.000 0.000


No. 8
Sm3Tl4SnS8, relaxed, DFT PBE; space group = R-3m (166); uncorrected formation energy = -1.180 eV/atom; crystal system = trigonal
1.0
8.208 0.000 0.000
0.000 8.852 0.447
-4.104 -4.101 5.806
S Sm Tl Sn
8 3 4 1
direct
0.740 0.700 0.970
0.230 0.700 0.460
0.260 0.300 0.030
0.734 0.703 0.469
0.770 0.300 0.030
0.230 0.700 0.970
0.770 0.300 0.540
0.266 0.297 0.531
0.500 0.500 0.000
0.000 0.500 0.500
0.500 0.500 0.500
0.500 0.000 0.000
0.000 0.000 0.000
0.500 0.000 0.500
0.000 0.000 0.500
0.000 0.500 0.000


What are the E values for these records? In order: -30.455, -14.348, -13.723, -33.582, -46.875, -77.665, -16.279, -79.530 eV per formula unit.